# 1
Sr2CdHg6Bi PBE-GGA optimized geometry; formation energy = -21 meV/atom; symmetry = Fm-3m, No. 225
1.0
0.000 5.656 5.656
5.656 0.000 5.656
5.656 5.656 0.000
Sr Cd Hg Bi
2 1 6 1
Direct
0.250 0.250 0.250
0.750 0.750 0.750
0.000 0.000 0.000
0.243 0.243 0.757
0.243 0.757 0.243
0.243 0.757 0.757
0.757 0.243 0.243
0.757 0.243 0.757
0.757 0.757 0.243
0.500 0.500 0.500


# 2
Sr2CdHg4Bi2 PBE-GGA optimized geometry; formation energy = -341 meV/atom; symmetry = I4/mmm, No. 139
1.0
-3.545 3.545 5.547
3.545 -3.545 5.547
3.545 3.545 -5.547
Sr Cd Hg Bi
2 1 4 2
Direct
0.250 0.750 0.500
0.750 0.250 0.500
0.000 0.000 0.000
0.283 0.283 0.566
0.283 0.717 0.000
0.717 0.283 0.000
0.717 0.717 0.434
0.271 0.271 0.000
0.729 0.729 0.000